## A
Below is Te2BrCl after structural relaxation, with properties calculated at the GGA-PBE level.

Cell and atoms, written as CIF:
```
data_Te2BrCl
_chemical_formula_sum 'Te2 Br1 Cl1'
_space_group_name_H-M_alt 'P 4/m m m'
_space_group_IT_number 123
_space_group_name_Hall '-P 4 2'
_cell_length_a 4.648
_cell_length_b 4.648
_cell_length_c 4.719
_cell_angle_alpha 90.00
_cell_angle_beta 90.00
_cell_angle_gamma 90.00
loop_
_atom_site_label
_atom_site_type_symbol
_atom_site_fract_x
_atom_site_fract_y
_atom_site_fract_z
Te1 Te 0.000 0.500 0.000
Br1 Br 0.000 0.000 0.500
Cl1 Cl 0.500 0.500 0.500
```

As for the total moment: 0.00 μB per formula unit. For the density of states at the Fermi level, the calculation gives 3.87 states/eV/cell. As for the crystal system: tetragonal.

=====

## B
Below is Te2BrCl after structural relaxation, with properties calculated at the GGA-PBE level.

Cell and atoms, written as CIF:
```
data_Te2BrCl
_chemical_formula_sum 'Te4 Br2 Cl2'
_space_group_name_H-M_alt 'A m m 2'
_space_group_IT_number 38
_cell_length_a 4.006
_cell_length_b 5.706
_cell_length_c 13.117
_cell_angle_alpha 90.00
_cell_angle_beta 90.00
_cell_angle_gamma 90.00
loop_
_space_group_symop_operation_xyz
'x,y,z'
'-x,-y,z'
'-x,y,z'
'x,-y,z'
'x,y+1/2,z+1/2'
'-x,-y+1/2,z+1/2'
'-x,y+1/2,z+1/2'
'x,-y+1/2,z+1/2'
loop_
_atom_site_label
_atom_site_type_symbol
_atom_site_fract_x
_atom_site_fract_y
_atom_site_fract_z
Te1 Te 0.000 0.000 0.000
Te2 Te 0.500 0.000 0.154
Br1 Br 0.000 0.000 0.486
Cl1 Cl 0.500 0.000 0.849
```

As for the total moment: 0.00 μB per formula unit. For the density of states at the Fermi level, the calculation gives 6.37 states/eV/cell. As for the crystal system: orthorhombic.

=====

Verdict on stability: B comes out on top.

=====

## A
Below is TeBr2Cl after structural relaxation, with properties calculated at the GGA-PBE level.

Cell and atoms, written as CIF:
```
data_TeBr2Cl
_chemical_formula_sum 'Te2 Br4 Cl2'
_space_group_name_H-M_alt 'I m m 2'
_space_group_IT_number 44
_cell_length_a 3.673
_cell_length_b 5.594
_cell_length_c 12.936
_cell_angle_alpha 90.00
_cell_angle_beta 90.00
_cell_angle_gamma 90.00
loop_
_space_group_symop_operation_xyz
'x,y,z'
'-x,-y,z'
'-x,y,z'
'x,-y,z'
'x+1/2,y+1/2,z+1/2'
'-x+1/2,-y+1/2,z+1/2'
'-x+1/2,y+1/2,z+1/2'
'x+1/2,-y+1/2,z+1/2'
loop_
_atom_site_label
_atom_site_type_symbol
_atom_site_fract_x
_atom_site_fract_y
_atom_site_fract_z
Te1 Te 0.000 0.000 0.000
Br1 Br 0.000 0.000 0.503
Br2 Br 0.000 0.500 0.337
Cl1 Cl 0.000 0.500 0.652
```

As for the total moment: 0.00 μB per formula unit. For the density of states at the Fermi level, the calculation gives 4.13 states/eV/cell. As for the crystal system: orthorhombic.

=====

## B
Below is TeBr2Cl after structural relaxation, with properties calculated at the GGA-PBE level.

Cell and atoms, written as CIF:
```
data_TeBr2Cl
_chemical_formula_sum 'Te1 Br2 Cl1'
_space_group_name_H-M_alt 'P 1 2/m 1'
_space_group_IT_number 10
_cell_length_a 3.743
_cell_length_b 4.195
_cell_length_c 7.906
_cell_angle_alpha 90.00
_cell_angle_beta 101.80
_cell_angle_gamma 90.00
loop_
_space_group_symop_operation_xyz
'x,y,z'
'-x,-y,-z'
'-x,y,-z'
'x,-y,z'
loop_
_atom_site_label
_atom_site_type_symbol
_atom_site_fract_x
_atom_site_fract_y
_atom_site_fract_z
Te1 Te 0.000 0.000 0.000
Br1 Br 0.170 0.500 0.239
Cl1 Cl 0.500 0.000 0.500
```

As for the total moment: 0.00 μB per formula unit. For the density of states at the Fermi level, the calculation gives 3.11 states/eV/cell. As for the crystal system: monoclinic.

=====

## C
Below is TeBr2Cl after structural relaxation, with properties calculated at the GGA-PBE level.

Cell and atoms, written as CIF:
```
data_TeBr2Cl
_chemical_formula_sum 'Te1 Br2 Cl1'
_space_group_name_H-M_alt 'P m m m'
_space_group_IT_number 47
_cell_length_a 4.020
_cell_length_b 4.047
_cell_length_c 8.722
_cell_angle_alpha 90.00
_cell_angle_beta 90.00
_cell_angle_gamma 90.00
loop_
_space_group_symop_operation_xyz
'x,y,z'
'-x,-y,-z'
'-x,-y,z'
'x,y,-z'
'x,-y,-z'
'-x,y,z'
'-x,y,-z'
'x,-y,z'
loop_
_atom_site_label
_atom_site_type_symbol
_atom_site_fract_x
_atom_site_fract_y
_atom_site_fract_z
Te1 Te 0.000 0.000 0.000
Br1 Br 0.000 0.500 0.500
Br2 Br 0.500 0.000 0.500
Cl1 Cl 0.500 0.500 0.000
```

As for the total moment: 0.00 μB per formula unit. For the density of states at the Fermi level, the calculation gives 2.91 states/eV/cell. As for the crystal system: orthorhombic.

=====

Verdict on stability: A comes out on top.